Entry 1:
An optimized crystal structure of SrZnCdAg2. Source: Alexandria, functional PBE.

Results
DFT formation energy = -46.2 meV per atom
Space-group type = P4/mmm
Distance to the lowest polymorph of the same formula = 0.165 eV per atom
Density = 6.22 g/cm3
Size of the total moment = 0.00 Bohr magnetons per cell

Unit cell a=5.057 b=5.057 c=5.026 alpha=90.00 beta=90.00 gamma=90.00
Fractional coordinates of all 5 atoms:
Sr1 0.500 0.500 0.500
Ag1 0.000 0.500 0.000
Cd1 0.000 0.000 0.500
Zn1 0.000 0.000 0.000
Ag2 0.500 0.000 0.000

Entry 2:
An optimized crystal structure of Sr3ZnCd2Ag6. Source: Alexandria, functional PBE.

Results
DFT formation energy = -157.1 meV per atom
Space-group type = P-3m1
Density = 6.70 g/cm3
Size of the total moment = 0.00 Bohr magnetons per cell

Unit cell a=6.111 b=6.111 c=9.201 alpha=90.00 beta=90.00 gamma=120.00
Fractional coordinates of all 12 atoms:
Ag1 0.175 0.349 0.281
Cd1 0.667 0.333 0.997
Ag2 0.175 0.825 0.281
Sr1 0.000 0.000 0.000
Ag3 0.349 0.175 0.719
Cd2 0.333 0.667 0.003
Ag4 0.825 0.651 0.719
Zn1 0.000 0.000 0.500
Sr2 0.333 0.667 0.605
Ag5 0.651 0.825 0.281
Sr3 0.667 0.333 0.395
Ag6 0.825 0.175 0.719

Entry 3:
An optimized crystal structure of Sr2ZnCd4Ag3. Source: Alexandria, functional PBE.

Results
DFT formation energy = -206.4 meV per atom
Space-group type = P-4m2
Density = 6.57 g/cm3
Size of the total moment = 0.00 Bohr magnetons per cell

Unit cell a=4.634 b=4.634 c=11.925 alpha=90.00 beta=90.00 gamma=90.00
Fractional coordinates of all 10 atoms:
Cd1 0.500 0.000 0.630
Sr1 0.000 0.500 0.746
Cd2 0.500 0.500 0.000
Ag1 0.500 0.000 0.859
Sr2 0.500 0.000 0.254
Ag2 0.000 0.000 0.500
Cd3 0.000 0.500 0.370
Cd4 0.000 0.000 0.000
Ag3 0.000 0.500 0.141
Zn1 0.500 0.500 0.500

Entry 4:
An optimized crystal structure of TaCdAg2. Source: Alexandria, functional PBE.

Results
DFT formation energy = 303.7 meV per atom
Space-group type = Pm
Density = 11.41 g/cm3
Size of the total moment = 0.00 Bohr magnetons per cell

Unit cell a=4.584 b=2.788 c=5.968 alpha=76.29 beta=90.00 gamma=90.00
Fractional coordinates of all 4 atoms:
Ag1 0.500 0.058 0.260
Ta1 0.500 0.802 0.772
Ag2 0.000 0.195 0.984
Cd1 0.000 0.445 0.485

Question: Look up the size of the total moment of the second one.
Answer: 0.00 Bohr magnetons per cell

Question: Which value of size of the total moment does entry 4 give?
Answer: 0.00 Bohr magnetons per cell

Question: Which of these has the lowest density?
Answer: SrZnCdAg2